# 1
Density functional theory data (PBE) for a relaxed TiTl2AgI6 crystal.

Structure (extended XYZ):
```
10
Lattice="-1.520 7.992 -1.570 -4.729 4.440 5.157 3.538 5.912 4.793" Properties=species:S:1:pos:R:3 pbc="T T T"
I 0.249 7.482 5.825
I -1.171 11.118 6.252
Tl -2.239 8.889 3.624
I 0.471 2.966 0.899
I 1.077 10.244 3.176
Ag -1.829 13.815 6.420
I -0.912 6.719 1.218
Tl 3.071 5.775 4.499
Ti -1.992 4.175 1.254
I -1.863 3.987 4.005
```

## Properties
Energy relative to the elements, uncorrected in eV per atom: -0.574
E in eV/atom: -3.05
Spin magnetization in μB per cell: 1.00

# 2
Density functional theory data (PBE) for a relaxed LiCuAg2 crystal.

Structure (extended XYZ):
```
4
Lattice="-0.457 0.498 -3.777 -0.246 -2.794 -0.339 -5.901 -2.250 0.417" Properties=species:S:1:pos:R:3 pbc="T T T"
Ag -3.059 -2.534 0.036
Ag -0.261 -2.781 -0.335
Li -4.839 -3.534 -1.830
Cu -1.765 -1.012 -1.869
```

## Properties
E in eV/atom: -2.99
DFT formation energy in kJ/mol of formula units: -22
Spin magnetization in μB per cell: 0.00

# 3
Density functional theory data (PBE) for a relaxed TlCu crystal.

Structure (extended XYZ):
```
4
Lattice="3.513 -0.519 -0.285 0.710 4.125 0.219 0.870 1.454 5.447" Properties=species:S:1:pos:R:3 pbc="T T T"
Cu 1.551 2.431 5.198
Cu 3.199 2.468 3.362
Tl 1.018 0.706 2.690
Tl 2.866 2.738 0.419
```

## Properties
E in eV/atom: -2.99
DFT formation energy in kJ/mol of formula units: 47
Spin magnetization in μB per cell: 0.00

# 4
Density functional theory data (PBE) for a relaxed Sr2Hg6Au3 crystal.

Structure (extended XYZ):
```
11
Lattice="4.565 0.000 0.000 0.000 8.622 0.000 0.000 -4.311 7.467" Properties=species:S:1:pos:R:3 pbc="T T T"
Au 2.282 1.711 2.964
Hg 0.000 6.881 0.000
Hg 2.282 -1.227 2.125
Hg 0.000 -3.441 5.959
Hg 2.282 3.084 5.342
Au 2.282 -2.600 4.503
Sr 0.000 0.000 4.978
Hg 0.000 0.870 1.508
Au 2.282 5.200 0.000
Hg 2.282 2.454 0.000
Sr 0.000 4.311 2.489
```

## Properties
E in eV/atom: -1.69
DFT formation energy in kJ/mol of formula units: -348
Spin magnetization in μB per cell: 0.00

# 5
Density functional theory data (PBE) for a relaxed BN crystal.

Structure (extended XYZ):
```
6
Lattice="-1.332 2.121 3.503 1.332 -2.121 3.503 1.332 2.121 -3.503" Properties=species:S:1:pos:R:3 pbc="T T T"
N 0.000 3.067 0.000
B 0.000 2.443 1.351
N 0.000 0.880 1.342
B 1.332 0.322 2.153
N 1.332 -1.241 2.162
B 0.000 0.214 0.000
```

## Properties
Energy relative to the elements, uncorrected in eV per atom: -0.985
E in eV/atom: -8.49
E above lowest polymorph in eV/f.u.: 0.603
Spin magnetization in μB per cell: 0.00

# 6
Density functional theory data (PBE) for a relaxed Ba4MgFe crystal.

Structure (extended XYZ):
```
6
Lattice="0.000 5.162 5.162 5.162 0.000 5.162 5.162 5.162 0.000" Properties=species:S:1:pos:R:3 pbc="T T T"
Ba 6.446 3.878 6.446
Ba 3.878 6.446 6.446
Mg 0.000 0.000 0.000
Ba 6.446 6.446 3.878
Ba 3.878 3.878 3.878
Fe 7.743 7.743 7.743
```

## Properties
E in eV/atom: -2.09
DFT formation energy in kJ/mol of formula units: 503
Spin magnetization in μB per cell: 2.37

# 7
Density functional theory data (PBE) for a relaxed Bi3PAu crystal.

Structure (extended XYZ):
```
5
Lattice="5.376 0.000 0.000 0.000 5.376 0.000 0.000 0.000 5.376" Properties=species:S:1:pos:R:3 pbc="T T T"
Bi 0.000 2.688 0.000
P 0.000 0.000 0.000
Bi 2.688 0.000 0.000
Au 2.688 2.688 2.688
Bi 0.000 0.000 2.688
```

## Properties
E in eV/atom: -3.43
E above lowest polymorph in eV/f.u.: 0.000
DFT formation energy in kJ/mol of formula units: 305
Spin magnetization in μB per cell: 0.00

# 8
Density functional theory data (PBE) for a relaxed Rb2Mg2InCl7 crystal.

Structure (extended XYZ):
```
12
Lattice="-0.749 -4.906 -0.919 4.811 -0.957 1.186 -1.429 -4.765 12.713" Properties=species:S:1:pos:R:3 pbc="T T T"
Mg 1.272 -7.344 10.415
Mg 1.361 -3.284 2.564
Rb -0.166 -4.098 8.125
Rb 2.799 -6.530 4.854
Cl 2.031 -2.931 0.133
Cl -1.154 -6.875 9.894
In 0.000 0.000 0.000
Cl 1.007 -5.727 2.032
Cl 0.706 -3.631 4.944
Cl 1.927 -6.997 8.035
Cl 1.626 -4.901 10.947
Cl 3.787 -3.753 3.085
```

## Properties
Energy relative to the elements, uncorrected in eV per atom: -1.715
E in eV/atom: -3.45
Spin magnetization in μB per cell: 0.00

> Which formula does entry 8 have?

Rb2Mg2InCl7